1.
A plane-wave DFT calculation with PBE-GGA was carried out for a relaxed structure of SrInGaHg2.

Cell and atoms, written as CIF:
```
data_SrInGaHg2
_space_group_name_H-M_alt 'P 4/m m m'
_space_group_IT_number 123
_space_group_name_Hall '-P 4 2'
_cell_length_a 6.822
_cell_length_b 6.822
_cell_length_c 7.255
_cell_angle_alpha 90.00
_cell_angle_beta 90.00
_cell_angle_gamma 90.00
loop_
_atom_site_label
_atom_site_type_symbol
_atom_site_fract_x
_atom_site_fract_y
_atom_site_fract_z
_atom_site_occupancy
Sr1 Sr 0.000 0.000 0.000 1
In1 In 0.000 0.000 0.500 1
Ga1 Ga 0.500 0.500 0.500 1
Hg1 Hg 0.000 0.500 0.000 1
```

- spin magnetization (Bohr magnetons per cell) = 1.3
- energy (eV/atom) = -0.973
- mass density (g/cm³) = 3.31
- energy relative to the elements (kcal/mol of atoms) = 14.7

=====

2.
A plane-wave DFT calculation with PBE-GGA was carried out for a relaxed structure of Sr2In4GaHg3.

Cell and atoms, written as CIF:
```
data_Sr2In4GaHg3
_space_group_name_H-M_alt 'P -4 m 2'
_space_group_IT_number 115
_space_group_name_Hall 'P -4 -2'
_cell_length_a 4.847
_cell_length_b 4.847
_cell_length_c 12.007
_cell_angle_alpha 90.00
_cell_angle_beta 90.00
_cell_angle_gamma 90.00
loop_
_atom_site_label
_atom_site_type_symbol
_atom_site_fract_x
_atom_site_fract_y
_atom_site_fract_z
_atom_site_occupancy
Sr1 Sr 0.000 0.500 0.240 1
In1 In 0.000 0.000 0.500 1
In2 In 0.000 0.500 0.873 1
In3 In 0.500 0.500 0.500 1
Ga1 Ga 0.500 0.500 0.000 1
Hg1 Hg 0.000 0.000 0.000 1
Hg2 Hg 0.000 0.500 0.642 1
```

- spin magnetization (Bohr magnetons per cell) = 0.0
- energy (eV/atom) = -2.130
- mass density (g/cm³) = 7.69
- energy relative to the elements (kcal/mol of atoms) = -7.0

=====

3.
A plane-wave DFT calculation with PBE-GGA was carried out for a relaxed structure of Tb4InGaHg2.

Cell and atoms, written as CIF:
```
data_Tb4InGaHg2
_space_group_name_H-M_alt 'R -3 m'
_space_group_IT_number 166
_space_group_name_Hall '-R 3 2"'
_cell_length_a 5.2606
_cell_length_b 5.2606
_cell_length_c 25.7274
_cell_angle_alpha 90.00
_cell_angle_beta 90.00
_cell_angle_gamma 120.00
loop_
_atom_site_label
_atom_site_type_symbol
_atom_site_fract_x
_atom_site_fract_y
_atom_site_fract_z
_atom_site_occupancy
Tb1 Tb 0.0000 0.0000 0.1202 1
Tb2 Tb 0.0000 0.0000 0.3707 1
In1 In 0.0000 0.0000 0.5000 1
Ga1 Ga 0.0000 0.0000 0.0000 1
Hg1 Hg 0.0000 0.0000 0.2460 1
```

- spin magnetization (Bohr magnetons per cell) = 0.1
- energy (eV/atom) = -3.608
- mass density (g/cm³) = 9.87
- energy relative to the elements (kcal/mol of atoms) = -11.4